Here is a relaxed LiTi2V3O12 crystal from Alexandria via LeMat-Bulk. Energies are from PBE with a Hubbard U.

Cell: 9.181 9.117 15.653 Å, 90.00 125.31 90.00°
Fractional positions:
Li  0.025  0.227  0.312
Li  0.025  0.273  0.812
Li  0.975  0.727  0.188
Li  0.975  0.773  0.688
Ti  0.140  0.537  0.386
Ti  0.140  0.963  0.886
Ti  0.372  0.521  0.123
Ti  0.372  0.979  0.623
Ti  0.628  0.021  0.377
Ti  0.628  0.479  0.877
Ti  0.860  0.037  0.114
Ti  0.860  0.463  0.614
V  0.034  0.105  0.642
V  0.034  0.395  0.142
V  0.246  0.616  0.644
V  0.246  0.884  0.144
V  0.461  0.247  0.991
V  0.461  0.253  0.491
V  0.539  0.747  0.509
V  0.539  0.753  0.009
V  0.754  0.116  0.856
V  0.754  0.384  0.356
V  0.966  0.605  0.858
V  0.966  0.895  0.358
O  0.000  0.220  0.174
O  0.000  0.280  0.674
O  0.000  0.720  0.326
O  0.000  0.780  0.826
O  0.065  0.522  0.235
O  0.065  0.978  0.735
O  0.074  0.592  0.660
O  0.074  0.908  0.160
O  0.153  0.553  0.975
O  0.153  0.947  0.475
O  0.177  0.565  0.517
O  0.177  0.935  0.017
O  0.221  0.102  0.640
O  0.221  0.398  0.140
O  0.254  0.157  0.912
O  0.254  0.343  0.412
O  0.299  0.701  0.162
O  0.299  0.799  0.662
O  0.361  0.627  0.431
O  0.361  0.873  0.931
O  0.428  0.510  0.736
O  0.428  0.990  0.236
O  0.445  0.134  0.572
O  0.445  0.366  0.072
O  0.497  0.160  0.411
O  0.497  0.340  0.911
O  0.503  0.660  0.089
O  0.503  0.840  0.589
O  0.555  0.634  0.928
O  0.555  0.866  0.428
O  0.572  0.010  0.764
O  0.572  0.490  0.264
O  0.639  0.127  0.069
O  0.639  0.373  0.569
O  0.701  0.201  0.338
O  0.701  0.299  0.838
O  0.746  0.657  0.588
O  0.746  0.843  0.088
O  0.779  0.602  0.860
O  0.779  0.898  0.360
O  0.823  0.065  0.983
O  0.823  0.435  0.483
O  0.847  0.053  0.525
O  0.847  0.447  0.025
O  0.926  0.092  0.840
O  0.926  0.408  0.340
O  0.935  0.022  0.265
O  0.935  0.478  0.765

Summary:
Total DFT energy (no corrections), eV/atom: -7.8166